Below is a relaxed structure of Cs2ScAsBr6, with properties calculated at the GGA-PBE level. Values from VASP.

The structure in Quantum ESPRESSO input format:
```
&SYSTEM
  ibrav = 0, nat = 10, ntyp = 4
/
ATOMIC_SPECIES
Cs 132.91 Cs.upf
Sc 44.96 Sc.upf
As 74.92 As.upf
Br 79.90 Br.upf
ATOMIC_POSITIONS crystal
Cs 0.250 0.750 0.500
Cs 0.750 0.250 0.500
Sc 0.000 0.000 0.000
As 0.500 0.500 0.000
Br 0.219 0.219 0.437
Br 0.219 0.781 0.000
Br 0.255 0.255 0.000
Br 0.745 0.745 0.000
Br 0.781 0.219 0.000
Br 0.781 0.781 0.563
CELL_PARAMETERS angstrom
-4.266 4.266 5.365
4.266 -4.266 5.365
4.266 4.266 -5.365
```

Mass density, Mg/m³: 3.68
Total DFT energy (no corrections), eV per atom: -3.5532

Below is a relaxed structure of CsScAs2Br, with properties calculated at the GGA-PBE level. Values from VASP.

The structure in Quantum ESPRESSO input format:
```
&SYSTEM
  ibrav = 0, nat = 5, ntyp = 4
/
ATOMIC_SPECIES
Cs 132.91 Cs.upf
Sc 44.96 Sc.upf
As 74.92 As.upf
Br 79.90 Br.upf
ATOMIC_POSITIONS crystal
Cs 0.000 0.000 0.000
Sc 0.500 0.500 0.500
As 0.000 0.500 0.500
As 0.500 0.000 0.500
Br 0.500 0.500 0.000
CELL_PARAMETERS angstrom
5.236 0.000 0.000
0.000 5.236 0.000
0.000 0.000 5.856
```

Mass density, Mg/m³: 4.22
Total DFT energy (no corrections), eV per atom: -4.2858